Entry 1:
Al4SiRh: optimized geometry, PBE-GGA.

The structure belongs to space group F-43m (No. 216); the cell edges are 7.2461, 7.2461 and 7.2461 Å and the angles 90.00°, 90.00° and 90.00°. The distinct sites, in fractional coordinates, are Al at (0.1254, 0.1254, 0.1254), Si at (0.0000, 0.0000, 0.5000) and Rh at (0.2500, 0.2500, 0.7500).

The calculation puts the volume at 15.85 Å³/atom. For the raw total energy, the calculation gives -4.47 eV per atom.

***

Entry 2:
FeTeP2: optimized geometry, PBE-GGA.

The structure belongs to space group F-43m (No. 216); the cell edges are 6.4129, 6.4129 and 6.4129 Å and the angles 90.00°, 90.00° and 90.00°. The distinct sites, in fractional coordinates, are Fe at (0.0000, 0.0000, 0.0000), Te at (0.2500, 0.2500, 0.2500), P at (0.0000, 0.0000, 0.5000) and P at (0.2500, 0.2500, 0.7500).

The calculation puts the volume at 16.48 Å³/atom. For the raw total energy, the calculation gives -4.90 eV per atom.

***

Entry 3:
DyRu3: optimized geometry, PBE-GGA.

The structure belongs to space group Pm-3m (No. 221); the cell edges are 4.0433, 4.0433 and 4.0433 Å and the angles 90.00°, 90.00° and 90.00°. The distinct sites, in fractional coordinates, are Dy at (0.0000, 0.0000, 0.0000) and Ru at (0.0000, 0.5000, 0.5000).

The calculation puts the volume at 16.53 Å³/atom. For the raw total energy, the calculation gives -7.94 eV per atom. The energy relative to the elements is 0.1647 eV per atom.

***

Entry 4:
ThAu3: optimized geometry, PBE-GGA.

The structure belongs to space group P6_3/mmc (No. 194); the cell edges are 6.5283, 6.5283 and 4.8041 Å and the angles 90.00°, 90.00° and 120.00°. The distinct sites, in fractional coordinates, are Th at (0.3333, 0.6667, 0.2500) and Au at (0.1561, 0.3122, 0.7500).

The calculation puts the volume at 22.16 Å³/atom. For the raw total energy, the calculation gives -4.94 eV per atom. The energy relative to the elements is -0.6222 eV per atom.

***

Entry 5:
Cr2TcBr: optimized geometry, PBE-GGA.

The structure belongs to space group Imm2 (No. 44); the cell edges are 2.9711, 4.3862 and 9.0480 Å and the angles 90.00°, 90.00° and 90.00°. The distinct sites, in fractional coordinates, are Cr at (0.0000, 0.0000, 0.0000), Cr at (0.0000, 0.5000, 0.2480), Tc at (0.0000, 0.5000, 0.7705) and Br at (0.0000, 0.0000, 0.5053).

The calculation puts the volume at 14.74 Å³/atom. For the raw total energy, the calculation gives -7.06 eV per atom.

***

Entry 6:
SiBi2Au: optimized geometry, PBE-GGA.

The structure belongs to space group I-42d (No. 122); the cell edges are 6.5372, 6.5372 and 12.2956 Å and the angles 90.00°, 90.00° and 90.00°. The distinct sites, in fractional coordinates, are Si at (0.0000, 0.0000, 0.0000), Bi at (0.2435, 0.2500, 0.1250) and Au at (0.0000, 0.0000, 0.5000).

The calculation puts the volume at 32.84 Å³/atom. For the raw total energy, the calculation gives -3.87 eV per atom.

***

Entry 7:
Pa3VN7: optimized geometry, PBE-GGA.

The structure belongs to space group C222_1 (No. 20); the cell edges are 7.6520, 10.5238 and 7.4153 Å and the angles 90.00°, 90.00° and 90.00°. The distinct sites, in fractional coordinates, are Pa at (0.0160, 0.0000, 0.0000), Pa at (0.2323, 0.2668, 0.7562), V at (0.0482, 0.5000, 0.0000), N at (0.0000, 0.1289, 0.2500), N at (0.0000, 0.1378, 0.7500), N at (0.0000, 0.4341, 0.7500), N at (0.2078, 0.3792, 0.0345) and N at (0.2314, 0.3715, 0.4898).

The calculation puts the volume at 13.57 Å³/atom. For the raw total energy, the calculation gives -9.99 eV per atom.

***

Entry 8:
ZrNbAl2: optimized geometry, PBE-GGA.

The structure belongs to space group Pnma (No. 62); the cell edges are 7.3895, 3.7556 and 10.6945 Å and the angles 90.00°, 90.00° and 90.00°. The distinct sites, in fractional coordinates, are Zr at (0.2251, 0.2500, 0.2001), Nb at (0.0496, 0.7500, 0.4087), Al at (0.0709, 0.2500, 0.8383) and Al at (0.1979, 0.7500, 0.9869).

The calculation puts the volume at 18.55 Å³/atom. For the raw total energy, the calculation gives -6.89 eV per atom. The energy relative to the elements is -0.3621 eV per atom.

***

Entry 9:
Cd3HgF: optimized geometry, PBE-GGA.

The structure belongs to space group Pm-3m (No. 221); the cell edges are 4.8824, 4.8824 and 4.8824 Å and the angles 90.00°, 90.00° and 90.00°. The distinct sites, in fractional coordinates, are Cd at (0.0000, 0.0000, 0.5000), Hg at (0.5000, 0.5000, 0.5000) and F at (0.0000, 0.0000, 0.0000).

The calculation puts the volume at 23.28 Å³/atom. For the raw total energy, the calculation gives -1.31 eV per atom.

***

Entry 10:
Cs2KIn: optimized geometry, PBE-GGA.

The structure belongs to space group P4/mmm (No. 123); the cell edges are 4.7234, 4.7234 and 11.9511 Å and the angles 90.00°, 90.00° and 90.00°. The distinct sites, in fractional coordinates, are Cs at (0.0000, 0.0000, 0.1904), K at (0.5000, 0.5000, 0.5000) and In at (0.5000, 0.5000, 0.0000).

The calculation puts the volume at 66.66 Å³/atom. For the raw total energy, the calculation gives -1.31 eV per atom. The energy relative to the elements is 0.0745 eV per atom.

***

Entry 11:
TlH7N2: optimized geometry, PBE-GGA.

The structure belongs to space group Cmmm (No. 65); the cell edges are 8.0331, 10.2697 and 2.7558 Å and the angles 90.00°, 90.00° and 90.00°. The distinct sites, in fractional coordinates, are Tl at (0.0000, 0.0000, 0.0000), H at (0.0000, 0.3855, 0.0000), H at (0.0000, 0.5000, 0.5000), H at (0.1049, 0.3153, 0.5000) and N at (0.0000, 0.3740, 0.5000).

The calculation puts the volume at 11.37 Å³/atom. For the raw total energy, the calculation gives -4.13 eV per atom.

***

Entry 12:
AcZrNi2P2: optimized geometry, PBE-GGA.

The structure belongs to space group P-3m1 (No. 164); the cell edges are 3.9083, 3.9083 and 8.0196 Å and the angles 90.00°, 90.00° and 120.00°. The distinct sites, in fractional coordinates, are Ac at (0.0000, 0.0000, 0.0000), Zr at (0.0000, 0.0000, 0.5000), Ni at (0.3333, 0.6667, 0.7178) and P at (0.3333, 0.6667, 0.2881).

The calculation puts the volume at 17.68 Å³/atom. For the raw total energy, the calculation gives -6.90 eV per atom. The energy relative to the elements is -1.0556 eV per atom.

***

Entry 13:
CaBe2Al: optimized geometry, PBE-GGA.

The structure belongs to space group R3m (No. 160, hexagonal axes); the cell edges are 3.9108, 3.9108 and 16.1257 Å and the angles 90.00°, 90.00° and 120.00°. The distinct sites, in fractional coordinates, are Ca at (0.0000, 0.0000, 0.0000), Be at (0.0000, 0.0000, 0.1953), Be at (0.0000, 0.0000, 0.5261) and Al at (0.0000, 0.0000, 0.8089).

The calculation puts the volume at 17.80 Å³/atom. For the raw total energy, the calculation gives -3.30 eV per atom. The energy relative to the elements is 0.0026 eV per atom.

***

Entry 14:
SbIr2N: optimized geometry, PBE-GGA.

The structure belongs to space group Fm-3m (No. 225); the cell edges are 6.1544, 6.1544 and 6.1544 Å and the angles 90.00°, 90.00° and 90.00°. The distinct sites, in fractional coordinates, are Sb at (0.0000, 0.0000, 0.0000), Ir at (0.2500, 0.2500, 0.2500) and N at (0.0000, 0.0000, 0.5000).

The calculation puts the volume at 14.57 Å³/atom. For the raw total energy, the calculation gives -6.40 eV per atom.

***

no.,total moment (μB/atom)
1,0.000
2,0.544
3,0.000
4,0.000
5,0.055
6,0.000
7,0.072
8,0.000
9,0.000
10,0.112
11,0.013
12,0.000
13,0.000
14,0.000